# 1
Below is a relaxed YHg crystal, with properties calculated at the PBEsol level.

Values from the calculation:
Magnetic moment: 0.0 μB per formula unit
N(E_F): 22.5 states/eV per cell
E_form: -0.53 eV per atom
Calculated density: 9.6 g/cm³
Symmetry: Pbcm

Lattice parameters (Å, degrees): 10.501 9.000 6.334 90.00 90.00 90.00
Element x y z (fractional)
Y1 0.114 0.250 0.000
Y2 0.114 0.250 0.500
Y3 0.183 0.633 0.250
Y4 0.183 0.867 0.750
Y5 0.375 0.043 0.250
Y6 0.375 0.457 0.750
Y7 0.625 0.543 0.250
Y8 0.625 0.957 0.750
Y9 0.817 0.133 0.250
Y10 0.817 0.367 0.750
Y11 0.886 0.750 0.000
Y12 0.886 0.750 0.500
Hg1 0.078 0.546 0.750
Hg2 0.078 0.954 0.250
Hg3 0.361 0.118 0.750
Hg4 0.361 0.382 0.250
Hg5 0.418 0.750 0.000
Hg6 0.418 0.750 0.500
Hg7 0.582 0.250 0.000
Hg8 0.582 0.250 0.500
Hg9 0.639 0.618 0.750
Hg10 0.639 0.882 0.250
Hg11 0.922 0.046 0.750
Hg12 0.922 0.454 0.250

---

# 2
Below is a relaxed MgPH7O7 crystal, with properties calculated at the PBEsol level.

Values from the calculation:
Magnetic moment: 0.0 μB per formula unit
N(E_F): 0.0 states/eV per cell
Calculated density: 2.2 g/cm³
Total energy: -742.56 eV per cell
Symmetry: Pbca

Lattice parameters (Å, degrees): 9.876 10.279 10.420 90.00 90.00 90.00
Element x y z (fractional)
Mg1 0.084 0.207 0.246
Mg2 0.084 0.293 0.746
Mg3 0.416 0.707 0.246
Mg4 0.416 0.793 0.746
Mg5 0.584 0.207 0.254
Mg6 0.584 0.293 0.754
Mg7 0.916 0.707 0.254
Mg8 0.916 0.793 0.754
P1 0.158 0.510 0.128
P2 0.158 0.990 0.628
P3 0.342 0.010 0.128
P4 0.342 0.490 0.628
P5 0.658 0.510 0.372
P6 0.658 0.990 0.872
P7 0.842 0.010 0.372
P8 0.842 0.490 0.872
H1 0.023 0.657 0.503
H2 0.023 0.843 0.003
H3 0.036 0.572 0.717
H4 0.036 0.928 0.217
H5 0.097 0.503 0.919
H6 0.097 0.997 0.419
H7 0.137 0.679 0.398
H8 0.137 0.821 0.898
H9 0.156 0.663 0.672
H10 0.156 0.837 0.172
H11 0.182 0.207 0.499
H12 0.182 0.293 0.999
H13 0.238 0.164 0.933
H14 0.238 0.336 0.433
H15 0.262 0.664 0.933
H16 0.262 0.836 0.433
H17 0.318 0.707 0.499
H18 0.318 0.793 0.999
H19 0.344 0.163 0.672
H20 0.344 0.337 0.172
H21 0.363 0.179 0.398
H22 0.363 0.321 0.898
H23 0.403 0.003 0.919
H24 0.403 0.497 0.419
H25 0.464 0.072 0.717
H26 0.464 0.428 0.217
H27 0.477 0.157 0.503
H28 0.477 0.343 0.003
H29 0.523 0.657 0.997
H30 0.523 0.843 0.497
H31 0.536 0.572 0.783
H32 0.536 0.928 0.283
H33 0.597 0.503 0.581
H34 0.597 0.997 0.081
H35 0.637 0.679 0.102
H36 0.637 0.821 0.602
H37 0.656 0.663 0.828
H38 0.656 0.837 0.328
H39 0.682 0.207 0.001
H40 0.682 0.293 0.501
H41 0.738 0.164 0.567
H42 0.738 0.336 0.067
H43 0.762 0.664 0.567
H44 0.762 0.836 0.067
H45 0.818 0.707 0.001
H46 0.818 0.793 0.501
H47 0.844 0.163 0.828
H48 0.844 0.337 0.328
H49 0.863 0.179 0.102
H50 0.863 0.321 0.602
H51 0.903 0.003 0.581
H52 0.903 0.497 0.081
H53 0.964 0.072 0.783
H54 0.964 0.428 0.283
H55 0.977 0.157 0.997
H56 0.977 0.343 0.497
O1 0.010 0.547 0.165
O2 0.010 0.953 0.665
O3 0.038 0.662 0.409
O4 0.038 0.838 0.909
O5 0.055 0.658 0.677
O6 0.055 0.842 0.177
O7 0.175 0.537 0.978
O8 0.175 0.963 0.478
O9 0.177 0.138 0.648
O10 0.177 0.362 0.148
O11 0.200 0.247 0.413
O12 0.200 0.253 0.913
O13 0.237 0.091 0.194
O14 0.237 0.409 0.694
O15 0.263 0.591 0.194
O16 0.263 0.909 0.694
O17 0.300 0.747 0.413
O18 0.300 0.753 0.913
O19 0.323 0.638 0.648
O20 0.323 0.862 0.148
O21 0.325 0.037 0.978
O22 0.325 0.463 0.478
O23 0.445 0.158 0.677
O24 0.445 0.342 0.177
O25 0.462 0.162 0.409
O26 0.462 0.338 0.909
O27 0.490 0.047 0.165
O28 0.490 0.453 0.665
O29 0.510 0.547 0.335
O30 0.510 0.953 0.835
O31 0.538 0.662 0.091
O32 0.538 0.838 0.591
O33 0.555 0.658 0.823
O34 0.555 0.842 0.323
O35 0.675 0.537 0.522
O36 0.675 0.963 0.022
O37 0.677 0.138 0.852
O38 0.677 0.362 0.352
O39 0.700 0.247 0.087
O40 0.700 0.253 0.587
O41 0.737 0.091 0.306
O42 0.737 0.409 0.806
O43 0.763 0.591 0.306
O44 0.763 0.909 0.806
O45 0.800 0.747 0.087
O46 0.800 0.753 0.587
O47 0.823 0.638 0.852
O48 0.823 0.862 0.352
O49 0.825 0.037 0.522
O50 0.825 0.463 0.022
O51 0.945 0.158 0.823
O52 0.945 0.342 0.323
O53 0.962 0.162 0.091
O54 0.962 0.338 0.591
O55 0.990 0.047 0.335
O56 0.990 0.453 0.835